PBE-GGA AgMoSe4, optimized geometry; energy relative to the lowest polymorph listed for this composition = 7.00 eV/f.u.; space group = F-43m (216)
1.0
0.000 4.032 4.032
4.032 0.000 4.032
4.032 4.032 0.000
Ag Mo Se
1 1 4
direct
0.000 0.000 0.000
0.750 0.750 0.750
0.375 0.375 0.375
0.375 0.375 0.874
0.375 0.874 0.375
0.874 0.375 0.375


PBE-GGA Ag2MoSe, optimized geometry; space group = F-43m (216)
1.0
0.000 3.258 3.258
3.258 0.000 3.258
3.258 3.258 0.000
Ag Mo Se
2 1 1
direct
0.000 0.000 0.000
0.250 0.250 0.250
0.750 0.750 0.750
0.500 0.500 0.500


PBE-GGA AgMo2Se, optimized geometry; space group = F-43m (216)
1.0
0.000 3.236 3.236
3.236 0.000 3.236
3.236 3.236 0.000
Ag Mo Se
1 2 1
direct
0.000 0.000 0.000
0.500 0.500 0.500
0.750 0.750 0.750
0.250 0.250 0.250


| no. | E (eV per atom) | formation energy from raw total energies (eV per atom) |
| --- | --- | --- |
| 1 | -3.64 | 0.96 |
| 2 | -4.44 | 0.56 |
| 3 | -6.31 | 0.69 |